(1)
! TeAsPN2, relaxed, DFT PBEsol; values from VASP
! **ΔE_f (raw)**: 1.33 eV/atom
! **Energy relative to the lowest polymorph listed for this composition**: 249 meV/atom
! **Total magnetic moment**: 0.33 μB/cell
! **Space group**: P4/mmm
! **DOS at the Fermi energy**: 4.062 states/eV per cell
&SYSTEM
  ibrav = 0, nat = 5, ntyp = 4
/
ATOMIC_SPECIES
Te 127.60 Te.upf
P 30.97 P.upf
N 14.01 N.upf
As 74.92 As.upf
ATOMIC_POSITIONS crystal
Te 0.000 0.000 0.500
P 0.500 0.500 0.500
N 0.000 0.500 0.000
N 0.500 0.000 0.000
As 0.000 0.000 0.000
CELL_PARAMETERS angstrom
3.684 0.000 0.000
0.000 3.684 0.000
0.000 0.000 6.713

=====

(2)
! Ti3V2NiP6O24, relaxed, DFT PBEsol; values from VASP
! **ΔE_f (raw)**: -2.31 eV/atom
! **Total magnetic moment**: 8.04 μB/cell
! **Space group**: R3
! **DOS at the Fermi energy**: 6.314 states/eV per cell
&SYSTEM
  ibrav = 0, nat = 36, ntyp = 5
/
ATOMIC_SPECIES
O 16.00 O.upf
V 50.94 V.upf
P 30.97 P.upf
Ti 47.87 Ti.upf
Ni 58.69 Ni.upf
ATOMIC_POSITIONS crystal
O 0.433 0.592 0.246
O 0.754 0.557 0.408
O 0.014 0.614 0.818
O 0.384 0.179 0.998
O 0.110 0.486 0.332
O 0.408 0.754 0.557
O 0.096 0.950 0.742
O 0.179 0.998 0.384
O 0.246 0.433 0.592
O 0.258 0.908 0.053
O 0.818 0.014 0.614
O 0.884 0.508 0.678
O 0.592 0.246 0.433
O 0.053 0.258 0.908
O 0.614 0.818 0.014
O 0.998 0.384 0.179
O 0.742 0.096 0.950
O 0.950 0.742 0.096
O 0.557 0.408 0.754
O 0.508 0.678 0.884
O 0.908 0.053 0.258
O 0.332 0.110 0.486
O 0.678 0.884 0.508
O 0.486 0.332 0.110
V 0.000 0.000 0.000
V 0.498 0.498 0.498
P 0.544 0.248 0.954
P 0.751 0.044 0.462
P 0.248 0.954 0.544
P 0.044 0.462 0.751
P 0.462 0.751 0.044
P 0.954 0.544 0.248
Ti 0.356 0.356 0.356
Ti 0.643 0.643 0.643
Ti 0.140 0.140 0.140
Ni 0.861 0.861 0.861
CELL_PARAMETERS angstrom
8.357 -0.056 -0.040
4.012 7.331 -0.040
4.012 2.360 6.941

=====

(3)
! MoPO5, relaxed, DFT PBEsol; values from VASP
! **ΔE_f (raw)**: -2.06 eV/atom
! **Energy relative to the lowest polymorph listed for this composition**: 0 meV/atom
! **Total magnetic moment**: 1.96 μB/cell
! **Space group**: C2/c
! **DOS at the Fermi energy**: 3.335 states/eV per cell
&SYSTEM
  ibrav = 0, nat = 14, ntyp = 3
/
ATOMIC_SPECIES
O 16.00 O.upf
Mo 95.94 Mo.upf
P 30.97 P.upf
ATOMIC_POSITIONS crystal
O 0.396 0.875 0.670
O 0.875 0.396 0.170
O 0.544 0.548 0.943
O 0.575 0.054 0.876
O 0.903 0.907 0.604
O 0.034 0.417 0.773
O 0.548 0.544 0.443
O 0.907 0.903 0.104
O 0.417 0.034 0.273
O 0.054 0.575 0.376
Mo 0.725 0.225 0.023
Mo 0.225 0.725 0.523
P 0.844 0.606 0.273
P 0.606 0.844 0.773
CELL_PARAMETERS angstrom
5.245 -0.103 0.099
-0.040 5.246 0.099
2.576 2.546 6.472

=====

(4)
! TiSbN2O, relaxed, DFT PBEsol; values from VASP
! **ΔE_f (raw)**: -0.48 eV/atom
! **Total magnetic moment**: 0.44 μB/cell
! **Space group**: P4/mmm
! **DOS at the Fermi energy**: 3.686 states/eV per cell
&SYSTEM
  ibrav = 0, nat = 5, ntyp = 4
/
ATOMIC_SPECIES
O 16.00 O.upf
Sb 121.76 Sb.upf
N 14.01 N.upf
Ti 47.87 Ti.upf
ATOMIC_POSITIONS crystal
O 0.500 0.000 0.000
Sb 0.500 0.500 0.500
N 0.000 0.500 0.000
N 0.000 0.000 0.500
Ti 0.000 0.000 0.000
CELL_PARAMETERS angstrom
3.781 0.000 0.000
0.000 3.982 0.000
0.000 0.000 3.982

=====

- ΔE_f (raw) of number 4 (TiSbN2O)?
  -0.48 eV/atom